[1]
The following is a DFT calculation (PBE-GGA) of a relaxed Y2TlRh2 crystal.

abc: 5.392 5.392 8.168
angles: 90.00 90.00 90.00
Fractional coordinates of all 10 atoms:
Y (0.000, 0.500, 0.250)
Y (0.000, 0.500, 0.750)
Y (0.500, 0.000, 0.250)
Y (0.500, 0.000, 0.750)
Tl (0.000, 0.000, 0.000)
Tl (0.500, 0.500, 0.500)
Rh (0.000, 0.000, 0.338)
Rh (0.000, 0.000, 0.662)
Rh (0.500, 0.500, 0.162)
Rh (0.500, 0.500, 0.838)

ΔH_f (0 K) (eV/f.u.): -2.340

=====

[2]
The following is a DFT calculation (PBE-GGA) of a relaxed Y2TlRh crystal.

abc: 3.919 3.919 24.516
angles: 90.00 90.00 120.00
Fractional coordinates of all 12 atoms:
Y (0.000, 0.000, 0.000)
Y (0.000, 0.000, 0.202)
Y (0.333, 0.667, 0.667)
Y (0.333, 0.667, 0.869)
Y (0.667, 0.333, 0.333)
Y (0.667, 0.333, 0.535)
Tl (0.000, 0.000, 0.435)
Tl (0.333, 0.667, 0.101)
Tl (0.667, 0.333, 0.768)
Rh (0.000, 0.000, 0.600)
Rh (0.333, 0.667, 0.267)
Rh (0.667, 0.333, 0.934)

ΔH_f (0 K) (eV/f.u.): -1.977

=====

[3]
The following is a DFT calculation (PBE-GGA) of a relaxed Y4TlRh3 crystal.

abc: 4.908 4.908 7.325
angles: 90.00 90.00 90.00
Fractional coordinates of all 8 atoms:
Y (0.000, 0.500, 0.232)
Y (0.000, 0.500, 0.768)
Y (0.500, 0.000, 0.232)
Y (0.500, 0.000, 0.768)
Tl (0.000, 0.000, 0.500)
Rh (0.000, 0.000, 0.000)
Rh (0.500, 0.500, 0.000)
Rh (0.500, 0.500, 0.500)

ΔH_f (0 K) (eV/f.u.): -5.344

=====

Record order is preserved below.
N(E_F): 3.16; 6.22; 4.30 states/eV per cell